Density functional theory data (GGA-PBE) for a geometry-optimized Tb3Pr6Er2Mg structure.

Cell lengths 6.2792, 6.2792, 11.8229 Å; angles 95.09, 95.09, 120.01 degrees
Fractional positions:
Er 0.6666 0.3334 0.0000
Pr 0.5852 0.9181 0.7530
Tb 0.5000 0.5000 0.5000
Pr 0.4148 0.0819 0.2470
Pr 0.7492 0.7492 0.2482
Tb 0.1667 0.8333 0.5000
Mg 0.0000 0.0000 0.0000
Pr 0.2508 0.2508 0.7518
Er 0.3334 0.6666 0.0000
Tb 0.8333 0.1667 0.5000
Pr 0.0819 0.4148 0.2470
Pr 0.9181 0.5852 0.7530

Summary:
D(E_F) = 1.0300 states/eV/atom
Calculated formation energy = 0.02 eV/atom
Calculated volume = 397.2 Å³ per cell
Magnetic moment = 0.0000 μB/atom
Space group = C2/m (12)
VASP energy = -4.416 eV per atom

***

Density functional theory data (GGA-PBE) for a geometry-optimized TbUSb structure.

Cell lengths 3.9509, 4.7244, 8.5622 Å; angles 91.99, 103.34, 90.00 degrees
Site moments in Bohr magnetons follow the coordinates.
Fractional positions:
Tb 0.4253 0.2463 0.8505  0.01
Sb 0.1029 0.2631 0.2059  -0.01
Tb 0.5747 0.7537 0.1495  0.01
U 0.2419 0.8233 0.4837  1.73
Sb 0.8971 0.7369 0.7941  -0.01
U 0.7581 0.1767 0.5163  1.73

Summary:
D(E_F) = 1.6791 states/eV/atom
Calculated volume = 155.4 Å³ per cell
Magnetic moment = 0.6255 μB/atom
Space group = C2/m (12)
VASP energy = -7.140 eV per atom
Formation energy from raw total energies = -0.459 eV per atom

***

Density functional theory data (GGA-PBE) for a geometry-optimized InGa2Cu structure.

Cell lengths 4.1823, 4.1823, 5.8022 Å; angles 68.87, 68.87, 60.00 degrees
Fractional positions:
In 0.4946 0.4946 0.5161
Ga 0.2850 0.2850 0.1450
Cu 0.6686 0.6686 0.9943
Ga 0.0518 0.0518 0.8446

Summary:
D(E_F) = 0.3001 states/eV/atom
Calculated formation energy = 0.03 eV/atom
Calculated volume = 79.9 Å³ per cell
Magnetic moment = 0.0000 μB/atom
Space group = R3m (160)
VASP energy = -3.195 eV per atom

***

Density functional theory data (GGA-PBE) for a geometry-optimized ScRe2Sb structure.

Cell lengths 8.8739, 8.8739, 8.8739 Å; angles 20.07, 20.07, 20.07 degrees
Fractional positions:
Sb 0.2500 0.2500 0.2500
Re 0.9973 0.9973 0.9973
Sc 0.7500 0.7500 0.7500
Re 0.5027 0.5027 0.5027

Summary:
D(E_F) = 1.2127 states/eV/atom
Calculated volume = 72.0 Å³ per cell
Magnetic moment = 0.0000 μB/atom
Space group = R-3m (166)
VASP energy = -8.339 eV per atom
Formation energy from raw total energies = 0.499 eV per atom

***

Density functional theory data (GGA-PBE) for a geometry-optimized YSiRu2 structure.

Cell lengths 4.4753, 3.1130, 5.0682 Å; angles 73.03, 90.00, 90.00 degrees
Fractional positions:
Ru 0.5000 0.4262 0.2407
Y 0.5000 0.7197 0.7195
Ru 0.0000 0.0208 0.0706
Si 0.0000 0.3333 0.4691

Summary:
D(E_F) = 0.7535 states/eV/atom
Calculated volume = 67.5 Å³ per cell
Magnetic moment = 0.0000 μB/atom
Space group = Pm (6)
VASP energy = -7.877 eV per atom
Formation energy from raw total energies = -0.268 eV per atom

***

Density functional theory data (GGA-PBE) for a geometry-optimized SmYHgIr structure.

Cell lengths 5.0960, 5.0960, 5.0960 Å; angles 60.00, 60.00, 60.00 degrees
Fractional positions:
Hg 0.2500 0.2500 0.2500
Y 0.5000 0.5000 0.5000
Sm 0.0000 0.0000 0.0000
Ir 0.7500 0.7500 0.7500

Summary:
D(E_F) = 0.6123 states/eV/atom
Calculated formation energy = -0.58 eV/atom
Calculated volume = 93.6 Å³ per cell
Magnetic moment = 0.0000 μB/atom
Space group = F-43m (216)
VASP energy = -5.663 eV per atom

***

Density functional theory data (GGA-PBE) for a geometry-optimized Tl2SbO structure.

Cell lengths 6.1324, 6.1324, 7.5025 Å; angles 65.88, 65.88, 90.00 degrees
Fractional positions:
Tl 0.5472 0.1250 0.2500
O 0.5000 0.5000 0.0000
Sb 0.0000 0.0000 0.0000
Tl 0.3750 0.4528 0.7500
Tl 0.2028 0.6250 0.2500
O 0.2500 0.7500 0.5000
Sb 0.7500 0.2500 0.5000
Tl 0.8750 0.7972 0.7500

Summary:
D(E_F) = 0.3132 states/eV/atom
Calculated volume = 230.2 Å³ per cell
Polymorph energy (0 for the lowest one) = 0 meV/atom
Magnetic moment = 0.0000 μB/atom
Space group = I-42d (122)
VASP energy = -3.557 eV per atom
Formation energy from raw total energies = -0.104 eV per atom

***

Density functional theory data (GGA-PBE) for a geometry-optimized Rb3Er2PaS6 structure.

Cell lengths 7.0164, 7.0164, 8.0545 Å; angles 98.35, 98.35, 120.00 degrees
Site moments in Bohr magnetons follow the coordinates.
Fractional positions:
Pa 0.0000 0.0000 0.0000  1.18
S 0.6018 0.9358 0.8074  -0.02
Er 0.6666 0.3334 0.0000  0.11
S 0.3982 0.0642 0.1926  -0.02
S 0.7303 0.7303 0.1928  -0.02
Er 0.3334 0.6666 0.0000  0.11
Rb 0.8324 0.1676 0.5000  0.00
Rb 0.5000 0.5000 0.5000  0.00
S 0.0642 0.3982 0.1926  -0.02
S 0.9358 0.6018 0.8074  -0.02
Rb 0.1676 0.8324 0.5000  0.00
S 0.2697 0.2697 0.8072  -0.02

Summary:
D(E_F) = 0.5519 states/eV/atom
Calculated volume = 328.6 Å³ per cell
Magnetic moment = 0.1428 μB/atom
Space group = C2/m (12)
VASP energy = -5.548 eV per atom
Formation energy from raw total energies = -1.691 eV per atom